A relaxed structure of ZnPb. Source: Alexandria via LeMat-Bulk, functional GGA-PBE.

a b c (Å): 6.8212 6.8212 3.7301
angles (deg): 90.00 90.00 120.00
Space group P-62m (No. 189)
Symmetry-distinct sites (fractional):
Zn1 0.0000 0.2220 0.0000 x3
Pb1 0.0000 0.5665 0.5000 x3

Values from the calculation:
The value obtained for the total magnetization is 0.0000 μB/atom. The total energy comes out at -0.0872 Ha/atom. The crystal system is hexagonal. For the energy of formation, the calculation gives 119 meV/atom.

A relaxed structure of ZnPb2. Source: Alexandria via LeMat-Bulk, functional GGA-PBE.

a b c (Å): 6.891 4.898 9.540
angles (deg): 90.00 90.00 90.00
Space group Pnma (No. 62)
Symmetry-distinct sites (fractional):
Zn1 0.208 0.250 0.115 x4
Pb1 0.045 0.250 0.802 x4
Pb2 0.165 0.250 0.438 x4

Values from the calculation:
The distance to the lowest polymorph of the same formula is 20.6 meV per atom. The value obtained for the total magnetization is 0.0000 μB/atom. The total energy comes out at -0.1025 Ha/atom. The crystal system is orthorhombic. For the energy of formation, the calculation gives 107 meV/atom.

A relaxed structure of ZnPb2. Source: Alexandria via LeMat-Bulk, functional GGA-PBE.

a b c (Å): 4.765 5.131 7.019
angles (deg): 90.00 90.00 90.00
Space group Immm (No. 71)
Symmetry-distinct sites (fractional):
Zn1 0.000 0.000 0.000 x2
Pb1 0.000 0.500 0.243 x4

Values from the calculation:
The distance to the lowest polymorph of the same formula is 19.9 meV per atom. The value obtained for the total magnetization is 0.0000 μB/atom. The total energy comes out at -0.1026 Ha/atom. The crystal system is orthorhombic. For the energy of formation, the calculation gives 106 meV/atom.

A relaxed structure of ZnPb5. Source: Alexandria via LeMat-Bulk, functional GGA-PBE.

a b c (Å): 13.430 3.526 7.711
angles (deg): 90.00 106.04 90.00
Space group Cm (No. 8)
Symmetry-distinct sites (fractional):
Zn1 0.000 0.000 0.000 x2
Pb1 0.141 0.500 0.844 x2
Pb2 0.168 0.500 0.308 x2
Pb3 0.334 0.000 0.679 x2
Pb4 0.346 0.000 0.126 x2
Pb5 0.497 0.500 0.480 x2

Values from the calculation:
The value obtained for the total magnetization is 0.0000 μB/atom. The total energy comes out at -0.1184 Ha/atom. The crystal system is monoclinic. For the energy of formation, the calculation gives 80 meV/atom.

A relaxed structure of ZnPb. Source: Alexandria via LeMat-Bulk, functional GGA-PBE.

a b c (Å): 7.587 4.327 5.899
angles (deg): 90.00 90.00 90.00
Space group Pnma (No. 62)
Symmetry-distinct sites (fractional):
Zn1 0.038 0.250 0.121 x4
Pb1 0.168 0.250 0.611 x4

Values from the calculation:
The value obtained for the total magnetization is 0.0000 μB/atom. The total energy comes out at -0.0879 Ha/atom. The crystal system is orthorhombic. For the energy of formation, the calculation gives 100 meV/atom.

A relaxed structure of ZnPb2. Source: Alexandria via LeMat-Bulk, functional GGA-PBE.

a b c (Å): 3.521 3.521 12.909
angles (deg): 90.00 90.00 90.00
Space group I4/mmm (No. 139)
Symmetry-distinct sites (fractional):
Zn1 0.000 0.000 0.000 x2
Pb1 0.000 0.000 0.355 x4

Values from the calculation:
The distance to the lowest polymorph of the same formula is 16.0 meV per atom. The value obtained for the total magnetization is 0.0000 μB/atom. The total energy comes out at -0.1027 Ha/atom. The crystal system is tetragonal. For the energy of formation, the calculation gives 102 meV/atom.

A relaxed structure of ZnPb3. Source: Alexandria via LeMat-Bulk, functional GGA-PBE.

a b c (Å): 4.837 4.837 4.837
angles (deg): 90.00 90.00 90.00
Space group Pm-3m (No. 221)
Symmetry-distinct sites (fractional):
Zn1 0.000 0.000 0.000 x1
Pb1 0.000 0.500 0.500 x3

Values from the calculation:
The value obtained for the total magnetization is 0.0000 μB/atom. The total energy comes out at -0.1096 Ha/atom. The crystal system is cubic. For the energy of formation, the calculation gives 116 meV/atom.

A relaxed structure of ZnPb5. Source: Alexandria via LeMat-Bulk, functional GGA-PBE.

a b c (Å): 9.202 9.202 9.202
angles (deg): 90.00 90.00 90.00
Space group F-43m (No. 216)
Symmetry-distinct sites (fractional):
Zn1 0.000 0.000 0.000 x4
Pb1 0.125 0.125 0.375 x16
Pb2 0.250 0.250 0.750 x4

Values from the calculation:
The value obtained for the total magnetization is 0.0000 μB/atom. The total energy comes out at -0.1117 Ha/atom. The crystal system is cubic. For the energy of formation, the calculation gives 264 meV/atom.

A relaxed structure of ZnPb3. Source: Alexandria via LeMat-Bulk, functional GGA-PBE.

a b c (Å): 7.726 7.726 7.726
angles (deg): 90.00 90.00 90.00
Space group Fm-3m (No. 225)
Symmetry-distinct sites (fractional):
Zn1 0.000 0.000 0.000 x4
Pb1 0.000 0.000 0.500 x4
Pb2 0.250 0.250 0.250 x8

Values from the calculation:
The value obtained for the total magnetization is 0.0000 μB/atom. The total energy comes out at -0.1080 Ha/atom. The crystal system is cubic. For the energy of formation, the calculation gives 161 meV/atom.

A relaxed structure of Zn13Pb. Source: Alexandria via LeMat-Bulk, functional GGA-PBE.

a b c (Å): 12.311 12.311 12.311
angles (deg): 90.00 90.00 90.00
Space group Fm-3c (No. 226)
Symmetry-distinct sites (fractional):
Zn1 0.000 0.000 0.000 x8
Zn2 0.000 0.120 0.180 x96
Pb1 0.250 0.250 0.250 x8

Values from the calculation:
The value obtained for the total magnetization is 0.0000 μB/atom. The total energy comes out at -0.0521 Ha/atom. The crystal system is cubic. For the energy of formation, the calculation gives 30 meV/atom.

A relaxed structure of ZnPb2. Source: Alexandria via LeMat-Bulk, functional GGA-PBE.

a b c (Å): 3.440 13.133 7.278
angles (deg): 90.00 90.00 90.00
Space group Cmc2_1 (No. 36)
Symmetry-distinct sites (fractional):
Zn1 0.000 0.130 0.000 x4
Pb1 0.000 0.190 0.617 x4
Pb2 0.000 0.461 0.805 x4

Values from the calculation:
The distance to the lowest polymorph of the same formula is 47.0 meV per atom. The value obtained for the total magnetization is 0.0000 μB/atom. The total energy comes out at -0.1016 Ha/atom. The crystal system is orthorhombic. For the energy of formation, the calculation gives 133 meV/atom.

A relaxed structure of ZnPb3. Source: Alexandria via LeMat-Bulk, functional GGA-PBE.

a b c (Å): 10.9316 10.9316 3.3459
angles (deg): 90.00 90.00 120.00
Space group R-3m (No. 166, hexagonal axes)
Symmetry-distinct sites (fractional):
Zn1 0.0000 0.0000 0.0000 x3
Pb1 0.0000 0.5000 0.0000 x9

Values from the calculation:
The value obtained for the total magnetization is 0.0000 μB/atom. The total energy comes out at -0.1073 Ha/atom. The crystal system is trigonal. For the energy of formation, the calculation gives 179 meV/atom.